A geometry-optimized PaPtPbN structure, computed with PBE.

Results
- Theoretical density: 12.635 g/cm3
- E_form (uncorrected): -951 meV/atom

POSCAR file:
```
PaPtPbN
1.0
3.876 0.000 0.000
1.938 3.357 0.000
1.938 1.119 13.076
Pt N Pb Pa
2 2 2 2
Cartesian
5.814 3.357 3.339
1.938 1.119 9.737
1.938 1.119 0.812
5.814 3.357 12.264
5.814 3.357 7.831
1.938 1.119 5.245
3.876 2.238 1.479
3.876 2.238 11.597
```